PmEr2 (PBE, optimized geometry); energy relative to the lowest polymorph listed for this composition = 0 meV/atom; spin magnetization = 0.487 μB/atom; raw total energy = -26.0 eV for the cell shown
1.0
0.000 4.645 4.645
4.645 0.000 4.645
4.645 4.645 0.000
Pm Er
2 4
Cartesian
1.161 1.161 1.161 Pm
8.128 8.128 8.128 Pm
4.645 2.322 2.322 Er
2.322 4.645 2.322 Er
2.322 2.322 4.645 Er
4.645 4.645 4.645 Er